Entry 1:
Cs2AlZnCl6 | PBE | relaxed

Cell: 7.309 7.309 10.380 Å, 90.00 90.00 90.00°
Space group I4/mmm (No. 139)
Unique sites:
Cs: 0.000 0.500 0.250 (multiplicity 4)
Al: 0.000 0.000 0.000 (multiplicity 2)
Zn: 0.000 0.000 0.500 (multiplicity 2)
Cl: 0.000 0.000 0.230 (multiplicity 4)
Cl: 0.232 0.232 0.000 (multiplicity 8)

* density: 3420 kg/m3
* uncorrected formation energy: -14.82 eV per formula unit
* size of the total moment: 0.0 μB/f.u.

Entry 2:
DyCu3Ge3 | PBE | relaxed

Cell: 6.575 6.575 6.575 Å, 90.00 90.00 90.00°
Space group Pm-3n (No. 223)
Unique sites:
Dy: 0.000 0.000 0.000 (multiplicity 2)
Cu: 0.000 0.250 0.500 (multiplicity 6)
Ge: 0.000 0.500 0.250 (multiplicity 6)

* energy of formation from the pure elements: 0.15 eV/atom
* density: 6672 kg/m3
* size of the total moment: 0.0 μB/f.u.

Entry 3:
Mg2TcBr | PBE | relaxed

Cell: 4.088 4.088 9.082 Å, 90.00 90.00 90.00°
Space group I4/mmm (No. 139)
Unique sites:
Mg: 0.000 0.500 0.250 (multiplicity 4)
Tc: 0.000 0.000 0.000 (multiplicity 2)
Br: 0.000 0.000 0.500 (multiplicity 2)

* density: 4957 kg/m3
* uncorrected formation energy: 1.96 eV per formula unit
* size of the total moment: 1.6 μB/f.u.